A relaxed structure of TbHg5. Source: Alexandria via LeMat-Bulk, functional PBE.

Properties
Its symmetry is Cmmm, No. 65. The calculation puts the formation energy from the elements at -222.2 meV per atom. The size of the total moment comes out at 0.0 μB/f.u. Its density of states at the Fermi level is 5.58 states/eV per cell. The value obtained for the total energy is -14.94 eV for the cell shown.

Lattice parameters (Å, degrees): 4.468 13.623 4.857 90.00 90.00 90.00
Sites, in units of the cell vectors:
Tb (0.000, 0.000, 0.000)
Tb (0.500, 0.500, 0.000)
Hg (0.000, 0.163, 0.500)
Hg (0.000, 0.332, 0.000)
Hg (0.000, 0.500, 0.500)
Hg (0.000, 0.668, 0.000)
Hg (0.000, 0.837, 0.500)
Hg (0.500, 0.000, 0.500)
Hg (0.500, 0.168, 0.000)
Hg (0.500, 0.337, 0.500)
Hg (0.500, 0.663, 0.500)
Hg (0.500, 0.832, 0.000)

=====

A relaxed structure of Tb2Hg5. Source: Alexandria via LeMat-Bulk, functional PBE.

Properties
Its symmetry is C2/m, No. 12. The calculation puts the formation energy from the elements at -308.8 meV per atom. The size of the total moment comes out at 0.0 μB/f.u. Its density of states at the Fermi level is 7.93 states/eV per cell. The value obtained for the total energy is -25.86 eV for the cell shown.

Lattice parameters (Å, degrees): 8.956 5.340 8.305 90.00 117.44 90.00
Sites, in units of the cell vectors:
Tb (0.240, 0.000, 0.177)
Tb (0.260, 0.500, 0.823)
Tb (0.740, 0.500, 0.177)
Tb (0.760, 0.000, 0.823)
Hg (0.000, 0.500, 0.000)
Hg (0.065, 0.000, 0.741)
Hg (0.152, 0.500, 0.408)
Hg (0.348, 0.000, 0.592)
Hg (0.435, 0.500, 0.259)
Hg (0.500, 0.000, 0.000)
Hg (0.565, 0.500, 0.741)
Hg (0.652, 0.000, 0.408)
Hg (0.848, 0.500, 0.592)
Hg (0.935, 0.000, 0.259)

=====

A relaxed structure of Tb2Hg3. Source: Alexandria via LeMat-Bulk, functional PBE.

Properties
Its symmetry is I-43d, No. 220. The calculation puts the formation energy from the elements at -267.1 meV per atom. The size of the total moment comes out at 0.0 μB/f.u. Its density of states at the Fermi level is 15.22 states/eV per cell. The value obtained for the total energy is -46.01 eV for the cell shown.

Lattice parameters (Å, degrees): 9.009 9.009 9.009 109.47 109.47 109.47
Sites, in units of the cell vectors:
Tb (0.000, 0.421, 0.500)
Tb (0.000, 0.921, 0.500)
Tb (0.079, 0.079, 0.079)
Tb (0.421, 0.500, 0.000)
Tb (0.500, 0.000, 0.421)
Tb (0.500, 0.000, 0.921)
Tb (0.579, 0.579, 0.579)
Tb (0.921, 0.500, 0.000)
Hg (0.015, 0.265, 0.750)
Hg (0.235, 0.250, 0.485)
Hg (0.250, 0.485, 0.235)
Hg (0.250, 0.765, 0.515)
Hg (0.265, 0.750, 0.015)
Hg (0.485, 0.235, 0.250)
Hg (0.515, 0.250, 0.765)
Hg (0.735, 0.985, 0.750)
Hg (0.750, 0.015, 0.265)
Hg (0.750, 0.735, 0.985)
Hg (0.765, 0.515, 0.250)
Hg (0.985, 0.750, 0.735)

=====

A relaxed structure of TbHg5. Source: Alexandria via LeMat-Bulk, functional PBE.

Properties
Its symmetry is C2/m, No. 12. The calculation puts the formation energy from the elements at -201.0 meV per atom. The size of the total moment comes out at 0.0 μB/f.u. Its density of states at the Fermi level is 5.71 states/eV per cell. The value obtained for the total energy is -14.69 eV for the cell shown.

Lattice parameters (Å, degrees): 8.940 5.109 6.499 90.00 95.53 90.00
Sites, in units of the cell vectors:
Tb (0.000, 0.000, 0.000)
Tb (0.500, 0.500, 0.000)
Hg (0.000, 0.000, 0.500)
Hg (0.159, 0.500, 0.758)
Hg (0.173, 0.500, 0.243)
Hg (0.327, 0.000, 0.757)
Hg (0.341, 0.000, 0.242)
Hg (0.500, 0.500, 0.500)
Hg (0.659, 0.000, 0.758)
Hg (0.673, 0.000, 0.243)
Hg (0.827, 0.500, 0.757)
Hg (0.841, 0.500, 0.242)

=====

A relaxed structure of Tb5Hg2. Source: Alexandria via LeMat-Bulk, functional PBE.

Properties
Its symmetry is C2/c, No. 15. The calculation puts the formation energy from the elements at -240.4 meV per atom. The size of the total moment comes out at 0.0 μB/f.u. Its density of states at the Fermi level is 12.44 states/eV per cell. The value obtained for the total energy is -50.88 eV for the cell shown. The calculation puts the energy above the lowest structure with this stoichiometry at 0.000 eV per atom.

Lattice parameters (Å, degrees): 8.985 8.985 6.713 91.76 91.76 48.89
Sites, in units of the cell vectors:
Tb (0.011, 0.989, 0.750)
Tb (0.178, 0.282, 0.756)
Tb (0.265, 0.554, 0.484)
Tb (0.282, 0.178, 0.256)
Tb (0.446, 0.735, 0.016)
Tb (0.554, 0.265, 0.984)
Tb (0.718, 0.822, 0.744)
Tb (0.735, 0.446, 0.516)
Tb (0.822, 0.718, 0.244)
Tb (0.989, 0.011, 0.250)
Hg (0.137, 0.635, 0.980)
Hg (0.365, 0.863, 0.520)
Hg (0.635, 0.137, 0.480)
Hg (0.863, 0.365, 0.020)

=====

A relaxed structure of Tb2Hg7. Source: Alexandria via LeMat-Bulk, functional PBE.

Properties
Its symmetry is P-3m1, No. 164. The calculation puts the formation energy from the elements at -270.0 meV per atom. The size of the total moment comes out at 0.0 μB/f.u. Its density of states at the Fermi level is 2.80 states/eV per cell. The value obtained for the total energy is -13.80 eV for the cell shown.

Lattice parameters (Å, degrees): 5.144 5.144 9.494 90.00 90.00 120.00
Sites, in units of the cell vectors:
Tb (0.333, 0.667, 0.272)
Tb (0.667, 0.333, 0.728)
Hg (0.000, 0.000, 0.163)
Hg (0.000, 0.000, 0.500)
Hg (0.000, 0.000, 0.837)
Hg (0.333, 0.667, 0.604)
Hg (0.333, 0.667, 0.932)
Hg (0.667, 0.333, 0.068)
Hg (0.667, 0.333, 0.396)

=====

A relaxed structure of TbHg6. Source: Alexandria via LeMat-Bulk, functional PBE.

Properties
Its symmetry is P4/mmm, No. 123. The calculation puts the formation energy from the elements at -171.6 meV per atom. The size of the total moment comes out at 0.0 μB/f.u. Its density of states at the Fermi level is 4.22 states/eV per cell. The value obtained for the total energy is -7.64 eV for the cell shown. The calculation puts the energy above the lowest structure with this stoichiometry at 0.000 eV per atom.

Lattice parameters (Å, degrees): 5.070 5.070 7.081 90.00 90.00 90.00
Sites, in units of the cell vectors:
Tb (0.000, 0.000, 0.000)
Hg (0.000, 0.000, 0.500)
Hg (0.000, 0.500, 0.272)
Hg (0.000, 0.500, 0.728)
Hg (0.500, 0.000, 0.272)
Hg (0.500, 0.000, 0.728)
Hg (0.500, 0.500, 0.000)

=====

A relaxed structure of Tb7Hg3. Source: Alexandria via LeMat-Bulk, functional PBE.

Properties
Its symmetry is P6_3mc, No. 186. The calculation puts the formation energy from the elements at -245.2 meV per atom. The size of the total moment comes out at 0.0 μB/f.u. Its density of states at the Fermi level is 24.21 states/eV per cell. The value obtained for the total energy is -71.54 eV for the cell shown.

Lattice parameters (Å, degrees): 10.202 10.202 6.590 90.00 90.00 120.00
Sites, in units of the cell vectors:
Tb (0.064, 0.532, 0.000)
Tb (0.129, 0.257, 0.729)
Tb (0.129, 0.871, 0.729)
Tb (0.257, 0.129, 0.229)
Tb (0.333, 0.667, 0.577)
Tb (0.468, 0.532, 0.000)
Tb (0.468, 0.936, 0.000)
Tb (0.532, 0.064, 0.500)
Tb (0.532, 0.468, 0.500)
Tb (0.667, 0.333, 0.077)
Tb (0.743, 0.871, 0.729)
Tb (0.871, 0.129, 0.229)
Tb (0.871, 0.743, 0.229)
Tb (0.936, 0.468, 0.500)
Hg (0.197, 0.394, 0.287)
Hg (0.197, 0.803, 0.287)
Hg (0.394, 0.197, 0.787)
Hg (0.606, 0.803, 0.287)
Hg (0.803, 0.197, 0.787)
Hg (0.803, 0.606, 0.787)

=====

A relaxed structure of Tb4Hg. Source: Alexandria via LeMat-Bulk, functional PBE.

Properties
Its symmetry is I4/mmm, No. 139. The calculation puts the formation energy from the elements at -177.7 meV per atom. The size of the total moment comes out at 0.0 μB/f.u. Its density of states at the Fermi level is 14.35 states/eV per cell. The value obtained for the total energy is -39.42 eV for the cell shown. The calculation puts the energy above the lowest structure with this stoichiometry at 0.000 eV per atom.

Lattice parameters (Å, degrees): 3.591 3.591 23.036 90.00 90.00 90.00
Sites, in units of the cell vectors:
Tb (0.000, 0.000, 0.088)
Tb (0.000, 0.000, 0.304)
Tb (0.000, 0.000, 0.696)
Tb (0.000, 0.000, 0.912)
Tb (0.500, 0.500, 0.196)
Tb (0.500, 0.500, 0.412)
Tb (0.500, 0.500, 0.588)
Tb (0.500, 0.500, 0.804)
Hg (0.000, 0.000, 0.500)
Hg (0.500, 0.500, 0.000)

=====

A relaxed structure of Tb3Hg4. Source: Alexandria via LeMat-Bulk, functional PBE.

Properties
Its symmetry is R-3m, No. 166. The calculation puts the formation energy from the elements at -340.1 meV per atom. The size of the total moment comes out at 0.0 μB/f.u. Its density of states at the Fermi level is 5.59 states/eV per cell. The value obtained for the total energy is -17.48 eV for the cell shown. The calculation puts the energy above the lowest structure with this stoichiometry at 0.091 eV per atom.

Lattice parameters (Å, degrees): 9.208 9.208 9.208 32.20 32.20 32.20
Sites, in units of the cell vectors:
Tb (0.000, 0.000, 0.000)
Tb (0.244, 0.244, 0.244)
Tb (0.756, 0.756, 0.756)
Hg (0.126, 0.126, 0.126)
Hg (0.375, 0.375, 0.375)
Hg (0.625, 0.625, 0.625)
Hg (0.874, 0.874, 0.874)

=====

A relaxed structure of Tb6TcHg2. Source: Alexandria via LeMat-Bulk, functional PBE.

Properties
Its symmetry is Immm, No. 71. The calculation puts the formation energy from the elements at -75.3 meV per atom. The size of the total moment comes out at 0.0 μB/f.u. Its density of states at the Fermi level is 11.14 states/eV per cell. The value obtained for the total energy is -39.43 eV for the cell shown. The calculation puts the energy above the lowest structure with this stoichiometry at 0.173 eV per atom.

Lattice parameters (Å, degrees): 8.589 8.589 8.589 145.18 130.99 61.52
Sites, in units of the cell vectors:
Tb (0.087, 0.343, 0.744)
Tb (0.231, 0.000, 0.231)
Tb (0.401, 0.657, 0.744)
Tb (0.599, 0.343, 0.256)
Tb (0.769, 0.000, 0.769)
Tb (0.913, 0.657, 0.256)
Tc (0.000, 0.500, 0.500)
Hg (0.334, 0.834, 0.500)
Hg (0.666, 0.166, 0.500)

=====

A relaxed structure of Tb4TcHg. Source: Alexandria via LeMat-Bulk, functional PBE.

Properties
Its symmetry is P2_1/c, No. 14. The calculation puts the formation energy from the elements at -51.2 meV per atom. The size of the total moment comes out at 0.0 μB/f.u. Its density of states at the Fermi level is 10.05 states/eV per cell. The value obtained for the total energy is -58.99 eV for the cell shown. The calculation puts the energy above the lowest structure with this stoichiometry at 0.202 eV per atom.

Lattice parameters (Å, degrees): 7.705 6.940 6.716 90.00 90.51 90.00
Sites, in units of the cell vectors:
Tb (0.141, 0.150, 0.162)
Tb (0.141, 0.350, 0.662)
Tb (0.296, 0.650, 0.140)
Tb (0.296, 0.850, 0.640)
Tb (0.704, 0.150, 0.360)
Tb (0.704, 0.350, 0.860)
Tb (0.859, 0.650, 0.338)
Tb (0.859, 0.850, 0.838)
Tc (0.000, 0.000, 0.500)
Tc (0.000, 0.500, 0.000)
Hg (0.500, 0.000, 0.000)
Hg (0.500, 0.500, 0.500)